The following is a DFT calculation (PBE-GGA) of a relaxed structure of InNiAgRh.

Computed properties:
total magnetic moment: 0.000 μB per atom
DFT total energy: -18.91 eV for the cell shown

Cell: 4.470 4.470 4.470 Å, 60.00 60.00 60.00°
Fractional positions:
Rh: 0.250 0.250 0.250
Ni: 0.750 0.750 0.750
Ag: 0.500 0.500 0.500
In: 0.000 0.000 0.000

***

The following is a DFT calculation (PBE-GGA) of a relaxed structure of InNiAgRh2.

Computed properties:
total magnetic moment: 0.234 μB per atom
DFT total energy: -19.65 eV for the cell shown

Cell: 4.870 4.542 4.870 Å, 90.00 90.00 90.00°
Each line ends with the local moment (μB).
Fractional positions:
Ag: 0.000 0.000 0.000  0.03
Rh: 0.500 0.000 0.000  0.18
Rh: 0.000 0.000 0.500  0.34
In: 0.500 0.500 0.500  -0.01
Ni: 0.000 0.500 0.000  0.68

***

The following is a DFT calculation (PBE-GGA) of a relaxed structure of ScIn2NiAg.

Computed properties:
total magnetic moment: 0.000 μB per atom
DFT total energy: -20.57 eV for the cell shown

Cell: 4.892 4.746 4.892 Å, 90.00 90.00 90.00°
Fractional positions:
In: 0.000 0.000 0.500
In: 0.500 0.000 0.000
Sc: 0.000 0.500 0.000
Ni: 0.000 0.000 0.000
Ag: 0.500 0.500 0.500

***

The following is a DFT calculation (PBE-GGA) of a relaxed structure of ScInNiAg.

Computed properties:
total magnetic moment: 0.000 μB per atom
DFT total energy: -18.93 eV for the cell shown

Cell: 4.641 4.641 4.641 Å, 60.00 60.00 60.00°
Fractional positions:
In: 0.000 0.000 0.000
Ag: 0.250 0.250 0.250
Sc: 0.500 0.500 0.500
Ni: 0.750 0.750 0.750

***

The following is a DFT calculation (PBE-GGA) of a relaxed structure of InNi2AgSe.

Computed properties:
total magnetic moment: 0.000 μB per atom
DFT total energy: -15.51 eV for the cell shown
raw formation energy: 1024 meV per atom

Cell: 4.684 5.044 4.684 Å, 90.00 90.00 90.00°
Fractional positions:
Ni: 0.000 0.000 0.500
Ni: 0.500 0.000 0.000
Ag: 0.000 0.500 0.000
Se: 0.500 0.500 0.500
In: 0.000 0.000 0.000

***

The following is a DFT calculation (PBE-GGA) of a relaxed structure of InNi2AgSn.

Computed properties:
total magnetic moment: 0.022 μB per atom
DFT total energy: -16.74 eV for the cell shown

Cell: 4.789 5.001 4.789 Å, 90.00 90.00 90.00°
Each line ends with the local moment (μB).
Fractional positions:
Sn: 0.500 0.500 0.500  -0.01
Ag: 0.000 0.000 0.000  0.00
Ni: 0.500 0.000 0.000  0.07
Ni: 0.000 0.000 0.500  0.06
In: 0.000 0.500 0.000  0.00

***

The following is a DFT calculation (PBE-GGA) of a relaxed structure of SrIn2NiAg.

Computed properties:
total magnetic moment: 0.000 μB per atom
DFT total energy: -16.65 eV for the cell shown

Cell: 4.930 4.930 5.189 Å, 90.00 90.00 90.00°
Fractional positions:
Ag: 0.000 0.000 0.500
Ni: 0.000 0.000 0.000
Sr: 0.500 0.500 0.500
In: 0.000 0.500 0.000
In: 0.500 0.000 0.000

***

The following is a DFT calculation (PBE-GGA) of a relaxed structure of TaInNi2Ag.

Computed properties:
total magnetic moment: 0.001 μB per atom
DFT total energy: -21.61 eV for the cell shown

Cell: 4.569 4.820 4.569 Å, 90.00 90.00 90.00°
Fractional positions:
Ni: 0.500 0.000 0.000
Ni: 0.000 0.000 0.500
Ag: 0.000 0.500 0.000
In: 0.000 0.000 0.000
Ta: 0.500 0.500 0.500

***

The following is a DFT calculation (PBE-GGA) of a relaxed structure of TbInNiAg.

Computed properties:
total magnetic moment: 0.000 μB per atom
DFT total energy: -17.19 eV for the cell shown

Cell: 4.809 4.809 4.809 Å, 60.00 60.00 60.00°
Fractional positions:
Ni: 0.750 0.750 0.750
In: 0.500 0.500 0.500
Ag: 0.250 0.250 0.250
Tb: 0.000 0.000 0.000

***

The following is a DFT calculation (PBE-GGA) of a relaxed structure of TiInNiAg.

Computed properties:
total magnetic moment: 0.000 μB per atom
DFT total energy: -19.71 eV for the cell shown

Cell: 4.531 4.531 4.531 Å, 60.00 60.00 60.00°
Fractional positions:
In: 0.750 0.750 0.750
Ag: 0.000 0.000 0.000
Ti: 0.250 0.250 0.250
Ni: 0.500 0.500 0.500

***

The following is a DFT calculation (PBE-GGA) of a relaxed structure of TmInNiAg.

Computed properties:
total magnetic moment: 0.000 μB per atom
DFT total energy: -17.08 eV for the cell shown

Cell: 4.755 4.755 4.755 Å, 60.00 60.00 60.00°
Fractional positions:
Ag: 0.250 0.250 0.250
In: 0.500 0.500 0.500
Ni: 0.750 0.750 0.750
Tm: 0.000 0.000 0.000

***

The following is a DFT calculation (PBE-GGA) of a relaxed structure of YInNiAg.

Computed properties:
total magnetic moment: 0.000 μB per atom
DFT total energy: -19.04 eV for the cell shown

Cell: 4.804 4.804 4.804 Å, 60.00 60.00 60.00°
Fractional positions:
Ni: 0.500 0.500 0.500
Y: 0.750 0.750 0.750
Ag: 0.000 0.000 0.000
In: 0.250 0.250 0.250